This record from Alexandria describes an optimized crystal structure of Zr5Bi2Pb2. The functional is PBE-GGA.

## Properties
DFT total energy   -6.654 eV/atom
M_tot   0.000 μB/f.u.
Space group   Cmce (64)

Cell lengths 8.342, 8.342, 7.794 Å; angles 90.00, 90.00, 56.32 degrees
Atoms (fractional coordinates):
Zr (0.000, 0.000, 0.000)
Zr (0.018, 0.709, 0.661)
Zr (0.209, 0.518, 0.161)
Zr (0.291, 0.982, 0.661)
Zr (0.482, 0.791, 0.161)
Zr (0.500, 0.500, 0.500)
Zr (0.518, 0.209, 0.839)
Zr (0.709, 0.018, 0.339)
Zr (0.791, 0.482, 0.839)
Zr (0.982, 0.291, 0.339)
Bi (0.144, 0.856, 0.358)
Bi (0.356, 0.644, 0.858)
Bi (0.644, 0.356, 0.142)
Bi (0.856, 0.144, 0.642)
Pb (0.202, 0.202, 0.000)
Pb (0.298, 0.298, 0.500)
Pb (0.702, 0.702, 0.500)
Pb (0.798, 0.798, 0.000)

***

This record from Alexandria describes an optimized crystal structure of Mn2AgPbCl8. The functional is PBE-GGA.

## Properties
E_form (uncorrected)   -923 meV per atom
M_tot   9.000 μB/f.u.
Space group   P-1 (2)

Cell lengths 6.185, 6.327, 8.431 Å; angles 84.38, 84.18, 83.94 degrees
Atoms (fractional coordinates):
Mn (0.034, 0.029, 0.288)
Mn (0.966, 0.971, 0.712)
Ag (0.500, 0.500, 0.500)
Pb (0.500, 0.500, 0.000)
Cl (0.200, 0.159, 0.510)
Cl (0.206, 0.165, 0.046)
Cl (0.258, 0.691, 0.735)
Cl (0.266, 0.702, 0.271)
Cl (0.734, 0.298, 0.729)
Cl (0.742, 0.309, 0.265)
Cl (0.794, 0.835, 0.954)
Cl (0.800, 0.841, 0.490)

***

This record from Alexandria describes an optimized crystal structure of BaTeP2. The functional is PBE-GGA.

## Properties
E_form (uncorrected)   -158 meV per atom
M_tot   0.000 μB/f.u.
Space group   Immm (71)

Cell lengths 5.771, 5.771, 5.771 Å; angles 138.77, 119.33, 76.00 degrees
Atoms (fractional coordinates):
Ba (0.000, 0.000, 0.000)
Te (0.500, 0.500, 0.000)
P (0.294, 0.794, 0.500)
P (0.706, 0.206, 0.500)

***

This record from Alexandria describes an optimized crystal structure of MnAlFe5. The functional is PBE-GGA.

## Properties
DFT total energy   -7.657 eV/atom
M_tot   10.130 μB/f.u.
Space group   Cmmm (65)

Cell lengths 4.448, 4.448, 4.830 Å; angles 90.00, 90.00, 112.73 degrees
Atoms (fractional coordinates):
Mn (0.000, 0.000, 0.000)
Al (0.500, 0.500, 0.500)
Fe (0.000, 0.000, 0.500)
Fe (0.000, 0.500, 0.243)
Fe (0.000, 0.500, 0.757)
Fe (0.500, 0.000, 0.243)
Fe (0.500, 0.000, 0.757)

***

This record from Alexandria describes an optimized crystal structure of Sr2La2Hg. The functional is PBE-GGA.

## Properties
DFT total energy   -2.677 eV/atom
M_tot   0.834 μB/f.u.
Space group   P4/mbm (127)

Cell lengths 8.141, 8.141, 6.214 Å; angles 90.00, 90.00, 90.00 degrees
Atoms (fractional coordinates):
Sr (0.173, 0.327, 0.000)
Sr (0.327, 0.827, 0.000)
Sr (0.673, 0.173, 0.000)
Sr (0.827, 0.673, 0.000)
La (0.131, 0.631, 0.500)
La (0.369, 0.131, 0.500)
La (0.631, 0.869, 0.500)
La (0.869, 0.369, 0.500)
Hg (0.000, 0.000, 0.500)
Hg (0.500, 0.500, 0.500)

***

This record from Alexandria describes an optimized crystal structure of Al2VPd2. The functional is PBE-GGA.

## Properties
M_tot   2.763 μB/f.u.
Space group   P4/mbm (127)
Energy relative to the lowest polymorph listed for this composition   0 meV/atom

Cell lengths 7.295, 7.295, 2.865 Å; angles 90.00, 90.00, 90.00 degrees
Atoms (fractional coordinates):
Al (0.138, 0.362, 0.000)
Al (0.362, 0.862, 0.000)
Al (0.638, 0.138, 0.000)
Al (0.862, 0.638, 0.000)
V (0.000, 0.000, 0.000)
V (0.500, 0.500, 0.000)
Pd (0.159, 0.659, 0.500)
Pd (0.341, 0.159, 0.500)
Pd (0.659, 0.841, 0.500)
Pd (0.841, 0.341, 0.500)